{"formula": "NaPmAuSe", "functional": "PBE", "state": "optimized geometry", "m_tot_mub_per_cell": 0.00, "formation_energy_uncorrected_ev_per_atom": -0.874, "total_energy_ry_per_atom": -0.300, "lattice": [[7.2162, 0.0000, 0.0000], [0.0000, 7.2162, 0.0000], [0.0000, 0.0000, 7.2162]], "species": ["Na", "Na", "Na", "Na", "Pm", "Pm", "Pm", "Pm", "Au", "Au", "Au", "Au", "Se", "Se", "Se", "Se"], "frac_coords": [[0.0000, 0.0000, 0.0000], [0.0000, 0.5000, 0.5000], [0.5000, 0.0000, 0.5000], [0.5000, 0.5000, 0.0000], [0.0000, 0.0000, 0.5000], [0.0000, 0.5000, 0.0000], [0.5000, 0.0000, 0.0000], [0.5000, 0.5000, 0.5000], [0.2500, 0.2500, 0.2500], [0.2500, 0.7500, 0.7500], [0.7500, 0.2500, 0.7500], [0.7500, 0.7500, 0.2500], [0.2500, 0.2500, 0.7500], [0.2500, 0.7500, 0.2500], [0.7500, 0.2500, 0.2500], [0.7500, 0.7500, 0.7500]]}